Below is HfTc2Au after structural relaxation, with properties calculated at the PBE-GGA level.

Computed properties:
electronic total energy	-8.125	eV/atom
N(E_F)	4.277	states/eV/f.u.
SG	No. 122
ΔH_f (0 K)	0.37	eV/atom

a b c (Å): 3.905 3.905 10.204
angles (deg): 78.97 78.97 90.00
Positions (direct):
Hf1 0.500 0.500 0.000
Hf2 0.250 0.750 0.500
Tc1 0.875 0.815 0.750
Tc2 0.375 0.435 0.750
Tc3 0.565 0.125 0.250
Tc4 0.185 0.625 0.250
Au1 0.750 0.250 0.500
Au2 0.000 0.000 0.000